Computed, not measured: YZr2Os after structural relaxation at the GGA-PBE level of DFT.

a = 4.9288 Å, b = 4.9288 Å, c = 3.4142 Å
α = 90.00°, β = 90.00°, γ = 90.00°
Closest atoms and distances in Å follow each position.
Element x y z (fractional)
Os 0.5000 0.0000 0.5000  8 Zr 3.00
Y 0.0000 0.5000 0.5000  8 Zr 3.00
Zr 0.0000 0.0000 0.0000  4 Os 3.00, 4 Y 3.00
Zr 0.5000 0.5000 0.0000  4 Y 3.00, 4 Os 3.00

Results
**Calculated formation energy**: 0.31 eV per formula unit
**Total moment**: 0.00 μB per cell